(1)
RbCa3Rh after structural relaxation. Source: Alexandria, functional GGA-PBE.

a b c (Å): 8.2020 4.1337 14.0394
angles (deg): 81.35 61.32 90.00
Positions (direct):
Rh 0.2807 0.4485 0.7895
Ca 0.5208 0.0280 0.6334
Ca 0.8629 0.3449 0.9917
Ca 0.0493 0.9631 0.7607
Ca 0.6457 0.4370 0.8115
Ca 0.2668 0.8712 0.9406
Rh 0.6318 0.8597 0.9626
Rb 0.1397 0.6181 0.4635
Rb 0.7750 0.6910 0.2888
Ca 0.3916 0.2806 0.1187

As for the excess energy over the best structure of this formula in the dataset: 0.08 kcal/mol of atoms. The volume is 41.1 Å³ per atom.

***

(2)
RbCa3Rh after structural relaxation. Source: Alexandria, functional GGA-PBE.

a b c (Å): 5.7532 5.7532 5.7532
angles (deg): 90.00 90.00 90.00
Positions (direct):
Ca 0.0000 0.0000 0.5000
Rh 0.0000 0.0000 0.0000
Rb 0.5000 0.5000 0.5000
Ca 0.5000 0.0000 0.0000
Ca 0.0000 0.5000 0.0000

As for the excess energy over the best structure of this formula in the dataset: 1.19 kcal/mol of atoms. The volume is 38.1 Å³ per atom.

***

(3)
RbCa3Rh after structural relaxation. Source: Alexandria, functional GGA-PBE.

a b c (Å): 7.5503 9.1982 11.7934
angles (deg): 90.00 90.00 90.00
Positions (direct):
Rh 0.5011 0.2500 0.5692
Ca 0.0005 0.5608 0.8666
Ca 0.9995 0.4392 0.1335
Rh 0.0011 0.2500 0.9308
Ca 0.4995 0.4392 0.3666
Ca 0.7503 0.2500 0.7505
Ca 0.0005 0.9392 0.8666
Rb 0.5000 0.5000 0.0000
Rh 0.4989 0.7500 0.4308
Rh 0.9989 0.7500 0.0692
Ca 0.2497 0.7500 0.2495
Ca 0.4995 0.0608 0.3666
Ca 0.9995 0.0608 0.1335
Rb 0.0000 0.5000 0.5000
Ca 0.7497 0.7500 0.2505
Ca 0.2503 0.2500 0.7495
Ca 0.5005 0.5608 0.6334
Ca 0.5005 0.9392 0.6334
Rb 0.5000 0.0000 0.0000
Rb 0.0000 0.0000 0.5000

As for the excess energy over the best structure of this formula in the dataset: 4.00 kcal/mol of atoms. The volume is 41.0 Å³ per atom.

***

(4)
Rb2Ca2Rh after structural relaxation. Source: Alexandria, functional GGA-PBE.

a b c (Å): 7.6749 7.6749 7.2477
angles (deg): 90.00 90.00 90.00
Positions (direct):
Rb 0.8109 0.3109 0.5000
Rb 0.6891 0.8109 0.5000
Rh 0.0000 0.0000 0.0000
Rb 0.1891 0.6891 0.5000
Ca 0.6861 0.1861 0.0000
Ca 0.3139 0.8139 0.0000
Rb 0.3109 0.1891 0.5000
Ca 0.8139 0.6861 0.0000
Rh 0.5000 0.5000 0.0000
Ca 0.1861 0.3139 0.0000

As for the excess energy over the best structure of this formula in the dataset: 0.00 kcal/mol of atoms. The volume is 42.7 Å³ per atom.

***

(5)
RbCa3Rh after structural relaxation. Source: Alexandria, functional GGA-PBE.

a b c (Å): 6.0605 6.0605 14.8202
angles (deg): 78.20 78.20 90.00
Positions (direct):
Rh 0.7059 0.2059 0.5883
Ca 0.1437 0.9073 0.7125
Ca 0.0927 0.8563 0.2875
Rb 0.2500 0.7500 0.5000
Ca 0.7035 0.7035 0.5929
Rh 0.7941 0.2941 0.4117
Ca 0.6198 0.8563 0.2875
Ca 0.2965 0.2965 0.4071
Ca 0.1437 0.3802 0.7125
Rb 0.0000 0.0000 0.0000

As for the excess energy over the best structure of this formula in the dataset: 21.26 kcal/mol of atoms. The volume is 52.1 Å³ per atom.

***

(6)
RbCa3Rh after structural relaxation. Source: Alexandria, functional GGA-PBE.

a b c (Å): 4.6087 4.6087 10.8400
angles (deg): 90.00 90.00 90.00
Positions (direct):
Ca 0.5000 0.0000 0.4433
Rh 0.5000 0.5000 0.6007
Ca 0.0000 0.0000 0.6948
Rb 0.0000 0.0000 0.0817
Ca 0.0000 0.5000 0.4433

As for the excess energy over the best structure of this formula in the dataset: 6.13 kcal/mol of atoms. The volume is 46.0 Å³ per atom.

***

no.,energy of formation from the pure elements (eV per atom)
1,-0.18
2,-0.13
3,-0.01
4,0.15
5,0.74
6,0.08